Material: B3PCl
Method: DFT, PBEsol
State: relaxed

Lattice parameters (Å, degrees): 3.9691 3.9691 3.9691 90.00 90.00 90.00
With the nearest neighbours (Å) after each atom.
Sites, in units of the cell vectors:
P  0.0000  0.0000  0.0000  6 B 1.98
B  0.0000  0.5000  0.0000  2 P 1.98
B  0.0000  0.0000  0.5000  2 P 1.98
B  0.5000  0.0000  0.0000  2 P 1.98
Cl  0.5000  0.5000  0.5000  12 B 2.81

Crystal system: cubic
ΔE_f (raw) in eV per atom: 1.510
Symmetry: Pm-3m (221)
Raw total energy in eV per cell: -21.299